Cs3CePr2S6 | PBE | relaxed

a b c (Å): 7.416 7.416 8.459
angles (deg): 98.40 98.40 120.00
Each line ends with the local moment (μB).
Fractional coordinates of all 12 atoms:
1 Cs 0.500 0.500 0.500  0.00
2 S 0.393 0.062 0.187  -0.01
3 Cs 0.833 0.167 0.500  0.00
4 S 0.731 0.731 0.187  -0.01
5 S 0.062 0.393 0.187  -0.01
6 Pr 0.667 0.333 0.000  0.01
7 Cs 0.167 0.833 0.500  0.00
8 S 0.607 0.938 0.813  -0.01
9 Pr 0.333 0.667 0.000  0.01
10 Ce 0.000 0.000 0.000  0.91
11 S 0.938 0.607 0.813  -0.01
12 S 0.269 0.269 0.813  -0.01

## Properties
* calculated volume: 32.110 Å³/atom
* crystal system: monoclinic
* electronic total energy: -64.25 eV per formula unit
* raw formation energy: -1785.6 meV per atom
* space group: C2/m (12)
* density: 4.37 Mg/m³